1.
# LiFeCuP

Crystalline LiFeCuP at its relaxed geometry (PBE, the Alexandria database).

Cell lengths 3.578, 3.578, 8.491 Å; angles 90.00, 90.00, 90.00 degrees
Space group P4/nmm (No. 129, origin choice 2)
One atom of each set of equivalent atoms:
Li 0.250 0.250 0.247 x2
Fe 0.250 0.750 0.500 x2
Cu 0.250 0.750 0.000 x2
P 0.250 0.250 0.651 x2

Calculated values
- crystal system = tetragonal
- formation energy from the elements (eV/f.u.) = -1.1
- raw total energy (eV/atom) = -5.23
- M_tot (Bohr magnetons per cell) = 0.00

***

2.
# LiFeCuPd

Crystalline LiFeCuPd at its relaxed geometry (PBE, the Alexandria database).

Cell lengths 5.946, 5.946, 5.946 Å; angles 90.00, 90.00, 90.00 degrees
Space group F-43m (No. 216)
One atom of each set of equivalent atoms:
Li 0.000 0.000 0.000 x4
Fe 0.000 0.000 0.500 x4
Cu 0.250 0.250 0.250 x4
Pd 0.250 0.250 0.750 x4

Calculated values
- crystal system = cubic
- formation energy from the elements (eV/f.u.) = -0.1
- raw total energy (eV/atom) = -4.95
- M_tot (Bohr magnetons per cell) = 13.24

***

3.
# Li2FeCu2Pd5

Crystalline Li2FeCu2Pd5 at its relaxed geometry (PBE, the Alexandria database).

Cell lengths 10.218, 10.218, 2.901 Å; angles 90.00, 90.00, 90.00 degrees
Space group P4/mbm (No. 127)
One atom of each set of equivalent atoms:
Li 0.168 0.332 0.000 x4
Fe 0.000 0.000 0.000 x2
Cu 0.150 0.650 0.000 x4
Pd 0.000 0.500 0.500 x2
Pd 0.009 0.796 0.500 x8

Calculated values
- crystal system = tetragonal
- formation energy from the elements (eV/f.u.) = -0.9
- raw total energy (eV/atom) = -4.73
- M_tot (Bohr magnetons per cell) = 8.35